DFT (PBE with a Hubbard U) results for a geometry-optimized MoCI2O structure.

As for the total energy: -0.141 Ha/atom. The calculation puts the relative energy among the computed polymorphs at 0 meV per atom.

abc: 5.7682 5.7682 3.8719
angles: 90.00 90.00 90.00
Space group P4/mmm (No. 123)
Symmetry-distinct sites (fractional):
Mo 0.0000 0.0000 0.0000 x1
C 0.5000 0.5000 0.5000 x1
I 0.0000 0.5000 0.0000 x2
O 0.0000 0.0000 0.5000 x1